A relaxed structure of NpTl2HgO6. Source: Alexandria, functional PBE.

Computed properties:
**Uncorrected energy**: -6.17 eV per atom
**ρ**: 8.10 Mg/m³
**Magnetic moment**: 0.00 μB per cell
**Symmetry**: P-1
**ΔE_f (raw)**: -1.39 eV/atom

Cell lengths 6.0609, 6.2375, 6.5113 Å; angles 114.31, 110.16, 101.40 degrees
With the nearest neighbours (Å) after each atom.
Fractional coordinates of all 10 atoms:
Np 0.0000 0.0000 0.0000  4 O 1.90-1.95
Tl 0.1996 0.7835 0.4873  5 O 2.55-2.85
Tl 0.8004 0.2165 0.5127  5 O 2.55-2.85
Hg 0.5000 0.5000 0.0000  2 O 2.03
O 0.0754 0.7033 0.8409  1 Np 1.95
O 0.1762 0.1776 0.8061  1 Hg 2.03
O 0.3169 0.1551 0.3029  1 Np 1.90
O 0.6831 0.8449 0.6971  1 Np 1.90
O 0.8238 0.8224 0.1939  1 Hg 2.03
O 0.9246 0.2967 0.1591  1 Np 1.95

=====

A relaxed structure of La4AgPt. Source: Alexandria, functional PBE.

Computed properties:
**Formation energy**: -0.394 eV per atom
**Uncorrected energy**: -5.16 eV per atom
**ρ**: 6.97 Mg/m³
**Magnetic moment**: 0.00 μB per cell
**Relative energy among the computed polymorphs**: 116 meV/atom
**Symmetry**: C2/c

Cell lengths 8.9391, 8.9391, 7.2749 Å; angles 109.04, 109.04, 116.41 degrees
With the nearest neighbours (Å) after each atom.
Fractional coordinates of all 12 atoms:
La 0.0500 0.6069 0.8279  1 Pt 2.87, 1 Ag 3.16
La 0.2086 0.2775 0.7448  2 Pt 2.94-2.96, 1 Ag 3.19
La 0.2775 0.2086 0.2448  2 Pt 2.94-2.96, 1 Ag 3.19
La 0.3931 0.9500 0.6721  1 Pt 2.87, 1 Ag 3.16
La 0.6069 0.0500 0.3279  1 Pt 2.87, 1 Ag 3.16
La 0.7225 0.7914 0.7552  2 Pt 2.94-2.96, 1 Ag 3.19
La 0.7914 0.7225 0.2552  2 Pt 2.94-2.96, 1 Ag 3.19
La 0.9500 0.3931 0.1721  1 Pt 2.87, 1 Ag 3.16
Ag 0.3772 0.6228 0.2500  8 La 3.16-3.39
Ag 0.6228 0.3772 0.7500  8 La 3.16-3.39
Pt 0.0870 0.9130 0.7500  6 La 2.87-2.96
Pt 0.9130 0.0870 0.2500  6 La 2.87-2.96

=====

A relaxed structure of VHgGe2Os. Source: Alexandria, functional PBE.

Computed properties:
**Formation energy**: 2.170 eV per atom
**Uncorrected energy**: -3.81 eV per atom
**ρ**: 7.80 Mg/m³
**Magnetic moment**: 1.62 μB per cell
**Symmetry**: P4/mmm

Cell lengths 4.9337, 4.9337, 5.1336 Å; angles 90.00, 90.00, 90.00 degrees
With the nearest neighbours (Å) after each atom.
Fractional coordinates of all 5 atoms:
V 0.0000 0.0000 0.0000  4 Os 3.49, 8 Ge 3.56
Hg 0.5000 0.5000 0.5000  4 Ge 2.47, 2 Os 2.57
Ge 0.0000 0.5000 0.5000  2 Hg 2.47
Ge 0.5000 0.0000 0.5000  2 Hg 2.47
Os 0.5000 0.5000 0.0000  2 Hg 2.57

=====

A relaxed structure of Nd2Sm7Er2. Source: Alexandria, functional PBE.

Computed properties:
**Formation energy**: 0.125 eV per atom
**Uncorrected energy**: -4.57 eV per atom
**ρ**: 7.50 Mg/m³
**Magnetic moment**: 0.00 μB per cell
**Relative energy among the computed polymorphs**: 24 meV/atom
**Symmetry**: C2/c

Cell lengths 8.8625, 8.8625, 11.2415 Å; angles 97.27, 97.27, 119.72 degrees
With the nearest neighbours (Å) after each atom.
Fractional coordinates of all 22 atoms:
Nd 0.0833 0.3440 0.4865  2 Er 3.33-3.44, 6 Sm 3.37-3.69, 1 Nd 3.72
Nd 0.3440 0.0833 0.9865  2 Er 3.33-3.44, 6 Sm 3.37-3.69, 1 Nd 3.72
Nd 0.6560 0.9167 0.0135  2 Er 3.33-3.44, 6 Sm 3.37-3.69, 1 Nd 3.72
Nd 0.9167 0.6560 0.5135  2 Er 3.33-3.44, 6 Sm 3.37-3.69, 1 Nd 3.72
Sm 0.0841 0.9159 0.2500  8 Sm 3.54-3.71, 2 Er 3.58
Sm 0.0930 0.2363 0.0877  2 Nd 3.37-3.38, 4 Sm 3.37-3.71, 1 Er 3.48
Sm 0.2363 0.0930 0.5877  2 Nd 3.37-3.38, 4 Sm 3.37-3.71, 1 Er 3.48
Sm 0.2364 0.6620 0.0728  4 Sm 3.37-3.69, 3 Er 3.45-3.51, 2 Nd 3.47-3.66
Sm 0.3380 0.7636 0.4272  4 Sm 3.37-3.69, 3 Er 3.45-3.51, 2 Nd 3.47-3.66
Sm 0.3885 0.4393 0.8626  2 Sm 3.18-3.27, 1 Er 3.39, 1 Nd 3.47
Sm 0.4393 0.3885 0.3626  2 Sm 3.18-3.27, 1 Er 3.39, 1 Nd 3.47
Sm 0.5607 0.6115 0.6374  2 Sm 3.18-3.27, 1 Er 3.39, 1 Nd 3.47
Sm 0.6115 0.5607 0.1374  2 Sm 3.18-3.27, 1 Er 3.39, 1 Nd 3.47
Sm 0.6620 0.2364 0.5728  4 Sm 3.37-3.69, 3 Er 3.45-3.51, 2 Nd 3.47-3.66
Sm 0.7636 0.3380 0.9272  4 Sm 3.37-3.69, 3 Er 3.45-3.51, 2 Nd 3.47-3.66
Sm 0.7637 0.9070 0.4123  2 Nd 3.37-3.38, 4 Sm 3.37-3.71, 1 Er 3.48
Sm 0.9070 0.7637 0.9123  2 Nd 3.37-3.38, 4 Sm 3.37-3.71, 1 Er 3.48
Sm 0.9159 0.0841 0.7500  8 Sm 3.54-3.71, 2 Er 3.58
Er 0.0857 0.5466 0.7582  1 Er 3.32, 2 Nd 3.33-3.44, 6 Sm 3.39-3.58
Er 0.4534 0.9143 0.7418  1 Er 3.32, 2 Nd 3.33-3.44, 6 Sm 3.39-3.58
Er 0.5466 0.0857 0.2582  1 Er 3.32, 2 Nd 3.33-3.44, 6 Sm 3.39-3.58
Er 0.9143 0.4534 0.2418  1 Er 3.32, 2 Nd 3.33-3.44, 6 Sm 3.39-3.58

=====

A relaxed structure of TlSnAu. Source: Alexandria, functional PBE.

Computed properties:
**Formation energy**: -0.025 eV per atom
**Uncorrected energy**: -3.24 eV per atom
**ρ**: 11.13 Mg/m³
**Magnetic moment**: 0.00 μB per cell
**Symmetry**: I4mm

Cell lengths 6.7203, 6.7203, 6.7203 Å; angles 149.58, 149.58, 43.56 degrees
With the nearest neighbours (Å) after each atom.
Fractional coordinates of all 3 atoms:
Tl 0.0000 0.0000 0.0000  4 Au 3.27, 4 Tl 3.53, 5 Sn 3.61-3.62
Sn 0.2894 0.2894 0.0000  4 Au 2.91
Au 0.6694 0.6694 0.0000  4 Sn 2.91

=====

A relaxed structure of Pm12Bi5C2. Source: Alexandria, functional PBE.

Computed properties:
**Formation energy**: -0.427 eV per atom
**Uncorrected energy**: -5.42 eV per atom
**ρ**: 7.35 Mg/m³
**Magnetic moment**: 0.04 μB per cell
**Symmetry**: C2/m

Cell lengths 9.6283, 9.6283, 9.6255 Å; angles 105.58, 105.58, 48.04 degrees
With the nearest neighbours (Å) after each atom.
Fractional coordinates of all 19 atoms:
Pm 0.0014 0.0014 0.3337  2 C 2.61
Pm 0.0944 0.6092 0.4236  1 C 2.50
Pm 0.1181 0.5975 0.9389  4 Bi 3.15-3.27
Pm 0.3908 0.9056 0.5764  1 C 2.50
Pm 0.4025 0.8819 0.0611  4 Bi 3.15-3.27
Pm 0.4960 0.4960 0.3129  2 C 2.58
Pm 0.5040 0.5040 0.6871  2 C 2.58
Pm 0.5975 0.1181 0.9389  4 Bi 3.15-3.27
Pm 0.6092 0.0944 0.4236  1 C 2.50
Pm 0.8819 0.4025 0.0611  4 Bi 3.15-3.27
Pm 0.9056 0.3908 0.5764  1 C 2.50
Pm 0.9986 0.9986 0.6663  2 C 2.61
Bi 0.0000 0.0000 0.0000  6 Pm 3.15-3.21
Bi 0.2941 0.2941 0.1509  7 Pm 3.21-3.43
Bi 0.3128 0.3128 0.6566  7 Pm 3.21-3.36
Bi 0.6872 0.6872 0.3434  7 Pm 3.21-3.36
Bi 0.7059 0.7059 0.8491  7 Pm 3.21-3.43
C 0.2618 0.7382 0.5000  6 Pm 2.50-2.61
C 0.7382 0.2618 0.5000  6 Pm 2.50-2.61

=====

A relaxed structure of In3SnRh. Source: Alexandria, functional PBE.

Computed properties:
**Formation energy**: -0.004 eV per atom
**Uncorrected energy**: -3.92 eV per atom
**ρ**: 6.91 Mg/m³
**Magnetic moment**: 0.00 μB per cell
**Relative energy among the computed polymorphs**: 144 meV/atom
**Symmetry**: Pm-3m

Cell lengths 5.1440, 5.1440, 5.1440 Å; angles 90.00, 90.00, 90.00 degrees
With the nearest neighbours (Å) after each atom.
Fractional coordinates of all 5 atoms:
In 0.0000 0.0000 0.5000  2 Rh 2.57
In 0.0000 0.5000 0.0000  2 Rh 2.57
In 0.5000 0.0000 0.0000  2 Rh 2.57
Sn 0.5000 0.5000 0.5000  12 In 3.64
Rh 0.0000 0.0000 0.0000  6 In 2.57